No. 1
Density functional theory data (GGA-PBEsol) for crystalline Zr2Zn2Hg at its relaxed geometry.

Magnetization, μB/cell: 0.00
Total DFT energy (no corrections), eV per atom: -4.703

```
Zr2Zn2Hg
1.0
4.023 0.000 0.000
0.000 6.726 0.000
0.000 0.000 6.726
Zn Hg Zr
4 2 4
Direct
0.000 0.372 0.872
0.000 0.872 0.628
0.000 0.628 0.128
0.000 0.128 0.372
0.000 0.000 0.000
0.000 0.500 0.500
0.500 0.169 0.669
0.500 0.669 0.831
0.500 0.831 0.331
0.500 0.331 0.169
```

No. 2
Density functional theory data (GGA-PBEsol) for crystalline Zr2ZnHg at its relaxed geometry.

Magnetization, μB/cell: 0.00
Energy relative to the lowest polymorph listed for this composition, eV per atom: 0.000
Total DFT energy (no corrections), eV per atom: -5.367

```
Zr2ZnHg
1.0
3.090 0.000 0.000
0.000 3.090 0.000
0.000 0.000 7.988
Zn Hg Zr
1 1 2
Direct
0.500 0.500 0.500
0.500 0.500 0.000
0.000 0.000 0.732
0.000 0.000 0.268
```

No. 3
Density functional theory data (GGA-PBEsol) for crystalline Zr2ZnHg at its relaxed geometry.

Magnetization, μB/cell: 0.00
Energy relative to the lowest polymorph listed for this composition, eV per atom: 0.079
Total DFT energy (no corrections), eV per atom: -5.289

```
Zr2ZnHg
1.0
3.169 0.000 0.000
0.000 5.002 -0.052
-1.584 -2.381 4.916
Zn Hg Zr
1 1 2
Direct
0.242 0.734 0.483
0.521 0.527 0.041
0.987 0.993 0.973
0.751 0.245 0.502
```

No. 4
Density functional theory data (GGA-PBEsol) for crystalline ZrZnHg2 at its relaxed geometry.

Magnetization, μB/cell: 0.00
Total DFT energy (no corrections), eV per atom: -3.148

```
ZrZnHg2
1.0
4.239 0.000 0.000
0.000 4.239 0.000
0.000 0.000 4.275
Zn Hg Zr
1 2 1
Direct
0.500 0.500 0.500
0.000 0.500 0.000
0.500 0.000 0.000
0.000 0.000 0.500
```

No. 5
Density functional theory data (GGA-PBEsol) for crystalline Zr2ZnHg at its relaxed geometry.

Magnetization, μB/cell: 0.00
Energy relative to the lowest polymorph listed for this composition, eV per atom: 0.136
Total DFT energy (no corrections), eV per atom: -5.232

```
Zr2ZnHg
1.0
3.204 0.000 0.000
0.000 4.015 0.000
0.000 0.000 6.117
Hg Zn Zr
1 1 2
Direct
0.000 0.000 0.506
0.500 0.500 0.759
0.000 0.000 0.982
0.500 0.500 0.253
```

No. 6
Density functional theory data (GGA-PBEsol) for crystalline Zr2ZnHg at its relaxed geometry.

Magnetization, μB/cell: 0.00
Energy relative to the lowest polymorph listed for this composition, eV per atom: 0.023
Total DFT energy (no corrections), eV per atom: -5.344

```
Zr2ZnHg
1.0
-2.243 -2.298 -0.149
3.579 -3.508 0.232
-1.420 1.082 4.688
Zn Hg Zr
1 1 2
Direct
0.500 0.500 0.500
0.500 0.000 0.000
0.000 0.500 0.000
0.000 0.000 0.500
```

No. 7
Density functional theory data (GGA-PBEsol) for crystalline ZrZnHg2 at its relaxed geometry.

Magnetization, μB/cell: 0.00
Total DFT energy (no corrections), eV per atom: -2.965

```
ZrZnHg2
1.0
3.116 0.000 0.000
1.558 2.699 0.000
1.558 0.900 9.386
Hg Zn Zr
2 1 1
Direct
0.245 0.245 0.265
0.755 0.755 0.735
0.500 0.500 0.500
0.000 0.000 0.000
```

No. 8
Density functional theory data (GGA-PBEsol) for crystalline Zr2ZnHg at its relaxed geometry.

Magnetization, μB/cell: 0.00
Energy relative to the lowest polymorph listed for this composition, eV per atom: 0.044
Total DFT energy (no corrections), eV per atom: -5.323

```
Zr2ZnHg
1.0
4.794 0.000 0.000
2.397 4.152 0.000
2.397 1.384 3.914
Zn Hg Zr
1 1 2
Direct
0.500 0.500 0.500
0.000 0.000 0.000
0.250 0.250 0.250
0.750 0.750 0.750
```

No. 9
Density functional theory data (GGA-PBEsol) for crystalline Zr2ZnHg at its relaxed geometry.

Magnetization, μB/cell: 0.00
Energy relative to the lowest polymorph listed for this composition, eV per atom: 0.013
Total DFT energy (no corrections), eV per atom: -5.354

```
Zr2ZnHg
1.0
-2.565 -1.419 -0.641
1.892 -2.143 -2.824
1.387 -4.456 4.312
Zn Hg Zr
1 1 2
Direct
0.500 0.500 0.500
0.500 0.500 0.000
0.000 0.000 0.737
0.000 0.000 0.263
```

No. 10
Density functional theory data (GGA-PBEsol) for crystalline Zr2ZnHg at its relaxed geometry.

Magnetization, μB/cell: 0.00
Energy relative to the lowest polymorph listed for this composition, eV per atom: 0.016
Total DFT energy (no corrections), eV per atom: -5.351

```
Zr2ZnHg
1.0
4.317 0.000 0.000
0.000 4.317 0.000
-2.158 -2.158 4.111
Zn Hg Zr
1 1 2
Direct
0.500 0.500 0.000
0.000 0.000 0.000
0.750 0.250 0.500
0.250 0.750 0.500
```

No. 11
Density functional theory data (GGA-PBEsol) for crystalline ZrZnHg2 at its relaxed geometry.

Magnetization, μB/cell: 0.00
Total DFT energy (no corrections), eV per atom: -3.097

```
ZrZnHg2
1.0
3.141 0.000 0.000
0.000 3.141 0.000
0.000 0.000 7.765
Zn Hg Zr
1 2 1
Direct
0.000 0.000 0.497
0.000 0.000 0.997
0.500 0.500 0.278
0.500 0.500 0.728
```

No. 12
Density functional theory data (GGA-PBEsol) for crystalline Zr2Hg3 at its relaxed geometry.

Magnetization, μB/cell: 0.00
Energy relative to the lowest polymorph listed for this composition, eV per atom: 0.067
Total DFT energy (no corrections), eV per atom: -4.090

```
Zr2Hg3
1.0
-2.373 1.312 1.638
-2.633 -1.663 0.583
3.254 -4.251 11.182
Hg Zr
3 2
Direct
0.000 0.000 0.000
0.800 0.800 0.601
0.200 0.200 0.399
0.600 0.600 0.201
0.400 0.400 0.799
```

No. 13
Density functional theory data (GGA-PBEsol) for crystalline ZrHg at its relaxed geometry.

Magnetization, μB/cell: 0.00
Total DFT energy (no corrections), eV per atom: -5.127

```
ZrHg
1.0
3.100 0.000 0.000
0.000 3.100 0.000
0.000 0.000 4.256
Hg Zr
1 1
Direct
0.000 0.000 0.000
0.500 0.500 0.500
```

No. 14
Density functional theory data (GGA-PBEsol) for crystalline Zr3Hg at its relaxed geometry.

Magnetization, μB/cell: 0.00
Total DFT energy (no corrections), eV per atom: -7.159

```
Zr3Hg
1.0
-3.929 -1.800 -0.334
-0.160 -0.452 4.308
-1.709 9.186 -1.280
Hg Zr
2 6
Direct
0.625 0.625 0.249
0.375 0.375 0.751
0.500 0.000 0.000
0.000 0.500 0.000
0.250 0.750 0.500
0.750 0.250 0.500
0.877 0.877 0.753
0.123 0.123 0.247
```

No. 15
Density functional theory data (GGA-PBEsol) for crystalline ZrHg4 at its relaxed geometry.

Magnetization, μB/cell: 0.00
Total DFT energy (no corrections), eV per atom: -2.079

```
ZrHg4
1.0
3.838 0.000 0.000
0.000 3.838 0.000
-1.919 -1.919 7.925
Hg Zr
4 1
Direct
0.750 0.250 0.500
0.406 0.406 0.811
0.594 0.594 0.189
0.250 0.750 0.500
0.000 0.000 0.000
```

No. 16
Density functional theory data (GGA-PBEsol) for crystalline Zr3Hg at its relaxed geometry.

Magnetization, μB/cell: 0.00
Total DFT energy (no corrections), eV per atom: -7.123

```
Zr3Hg
1.0
3.154 0.000 0.000
0.000 3.154 0.000
0.000 0.000 8.689
Hg Zr
1 3
Direct
0.000 0.000 0.000
0.000 0.000 0.500
0.500 0.500 0.245
0.500 0.500 0.755
```

No. 17
Density functional theory data (GGA-PBEsol) for crystalline ZrHg3 at its relaxed geometry.

Magnetization, μB/cell: 0.00
Total DFT energy (no corrections), eV per atom: -2.888

```
ZrHg3
1.0
4.362 0.000 0.000
0.000 4.362 0.000
0.000 0.000 4.362
Hg Zr
3 1
Direct
0.000 0.500 0.500
0.500 0.000 0.500
0.500 0.500 0.000
0.000 0.000 0.000
```

No. 18
Density functional theory data (GGA-PBEsol) for crystalline ZrHg3 at its relaxed geometry.

Magnetization, μB/cell: 0.00
Total DFT energy (no corrections), eV per atom: -2.889

```
ZrHg3
1.0
6.161 0.000 0.000
-3.080 5.349 -0.001
0.000 3.548 5.036
Hg Zr
6 2
Direct
0.254 0.500 0.250
0.252 0.004 0.748
0.748 0.996 0.252
0.252 0.004 0.248
0.748 0.996 0.752
0.746 0.500 0.750
0.241 0.500 0.750
0.759 0.500 0.250
```

No. 19
Density functional theory data (GGA-PBEsol) for crystalline ZrHg3 at its relaxed geometry.

Magnetization, μB/cell: 0.00
Total DFT energy (no corrections), eV per atom: -2.828

```
ZrHg3
1.0
-1.498 -3.664 2.346
5.390 -2.503 -0.466
1.687 2.660 5.230
Hg Zr
6 2
Direct
0.500 0.312 0.000
0.000 0.688 0.500
0.000 0.159 0.740
0.000 0.159 0.260
0.500 0.841 0.240
0.500 0.841 0.760
0.000 0.620 0.000
0.500 0.380 0.500
```

No. 20
Density functional theory data (GGA-PBEsol) for crystalline ZrHg3 at its relaxed geometry.

Magnetization, μB/cell: 0.00
Total DFT energy (no corrections), eV per atom: -2.806

```
ZrHg3
1.0
3.243 0.000 0.000
0.000 4.770 0.000
0.000 0.000 5.484
Hg Zr
3 1
Direct
0.000 0.000 0.007
0.500 0.000 0.501
0.500 0.500 0.830
0.000 0.500 0.329
```

Summary of DOS(E_F) in states/eV/f.u.
2.02, 3.03, 3.56, 3.33, 2.24, 3.32, 2.96, 0.99, 3.56, 3.95, 1.97, 4.60, 1.92, 3.69, 3.04, 3.58, 3.64, 3.36, 2.29, 2.43
(order as listed above)
Summary of theoretical density in g cm⁻³
9.38, 9.76, 9.60, 12.06, 9.46, 9.68, 11.73, 9.56, 9.72, 9.72, 12.09, 12.22, 11.85, 9.40, 12.71, 9.11, 13.87, 13.87, 13.74, 13.56
(order as listed above)